This record from Alexandria describes an optimized crystal structure of Rb4H4C3O10. The functional is GGA-PBEsol.

The space group is Pnma (No. 62) and the conventional cell measures 12.177, 15.322 and 6.202 Å, with angles of 90.00, 90.00 and 90.00 degrees. The inequivalent atoms are Rb at (0.125, 0.121, 0.182), Rb at (0.148, 0.626, 0.176), H at (0.092, 0.100, 0.694), H at (0.156, 0.697, 0.620), C at (0.094, 0.250, 0.709), C at (0.125, 0.529, 0.661), O at (0.031, 0.250, 0.873), O at (0.064, 0.035, 0.753), O at (0.105, 0.606, 0.726), O at (0.129, 0.178, 0.620), O at (0.192, 0.750, 0.554) and O at (0.197, 0.509, 0.521).

As for the total energy: -6.2547 eV per atom.